GeP2RuC at its PBEsol-relaxed geometry, computed with meta-GGA SCAN.

```
data_GeP2RuC
_cell_length_a 4.4137
_cell_length_b 4.4137
_cell_length_c 4.7767
_cell_angle_alpha 90.00
_cell_angle_beta 90.00
_cell_angle_gamma 90.00
_symmetry_space_group_name_H-M 'P 4/m m m'
_symmetry_Int_Tables_number 123
_symmetry_space_group_name_Hall '-P 4 2'
loop_
_atom_site_label
_atom_site_type_symbol
_atom_site_fract_x
_atom_site_fract_y
_atom_site_fract_z
Ge1 Ge 0.0000 0.0000 0.0000
P1 P 0.0000 0.5000 0.5000
Ru1 Ru 0.0000 0.0000 0.5000
C1 C 0.5000 0.5000 0.0000
```

Results
DOS at the Fermi energy ... 2.21 states/eV/cell
Calculated volume ... 93.1 Å³/f.u.
Crystal system ... tetragonal
DFT total energy ... -15.2997 eV per atom